# 1
## CrFe3H (GGA-PBE)

Data for a relaxed CrFe3H crystal.

Values from the calculation:
* space group: Pm-3m, No. 221
* relative energy among the computed polymorphs: 1672 meV/atom

Cell: 4.221 4.221 4.221 Å, 90.00 90.00 90.00°
Atoms (fractional coordinates):
Cr1 0.000 0.000 0.000
Fe1 0.000 0.000 0.500
Fe2 0.000 0.500 0.000
Fe3 0.500 0.000 0.000
H1 0.500 0.500 0.500


# 2
## CrFeH2 (GGA-PBE)

Data for a relaxed CrFeH2 crystal.

Values from the calculation:
* space group: I-42d, No. 122
* relative energy among the computed polymorphs: 178 meV/atom

Cell: 3.874 3.874 7.684 Å, 90.00 90.00 90.00°
Atoms (fractional coordinates):
Cr1 0.000 0.000 0.000
Cr2 0.000 0.500 0.250
Cr3 0.500 0.000 0.750
Cr4 0.500 0.500 0.500
Fe1 0.000 0.000 0.500
Fe2 0.000 0.500 0.750
Fe3 0.500 0.000 0.250
Fe4 0.500 0.500 0.000
H1 0.239 0.250 0.625
H2 0.250 0.739 0.875
H3 0.250 0.761 0.375
H4 0.261 0.250 0.125
H5 0.739 0.750 0.125
H6 0.750 0.239 0.375
H7 0.750 0.261 0.875
H8 0.761 0.750 0.625


# 3
## CrFeH2 (GGA-PBE)

Data for a relaxed CrFeH2 crystal.

Values from the calculation:
* space group: Pbcm, No. 57
* relative energy among the computed polymorphs: 0 meV/atom

Cell: 5.317 4.607 4.227 Å, 90.00 90.00 90.00°
Atoms (fractional coordinates):
Cr1 0.127 0.085 0.250
Cr2 0.127 0.415 0.750
Cr3 0.873 0.585 0.250
Cr4 0.873 0.915 0.750
Fe1 0.375 0.583 0.250
Fe2 0.375 0.917 0.750
Fe3 0.625 0.083 0.250
Fe4 0.625 0.417 0.750
H1 0.124 0.750 0.000
H2 0.124 0.750 0.500
H3 0.383 0.250 0.000
H4 0.383 0.250 0.500
H5 0.617 0.750 0.000
H6 0.617 0.750 0.500
H7 0.876 0.250 0.000
H8 0.876 0.250 0.500


# 4
## CrFe4H (GGA-PBE)

Data for a relaxed CrFe4H crystal.

Values from the calculation:
* space group: C2/c, No. 15
* raw total energy: -7.6674 eV/atom

Cell: 5.346 5.346 4.469 Å, 98.40 98.40 102.86°
Atoms (fractional coordinates):
Cr1 0.126 0.874 0.750
Cr2 0.874 0.126 0.250
Fe1 0.072 0.317 0.850
Fe2 0.259 0.535 0.447
Fe3 0.317 0.072 0.350
Fe4 0.465 0.741 0.053
Fe5 0.535 0.259 0.947
Fe6 0.683 0.928 0.650
Fe7 0.741 0.465 0.553
Fe8 0.928 0.683 0.150
H1 0.488 0.512 0.750
H2 0.512 0.488 0.250


# 5
## Cr2Fe2H3 (GGA-PBE)

Data for a relaxed Cr2Fe2H3 crystal.

Values from the calculation:
* space group: C2/m, No. 12
* raw total energy: -6.5904 eV/atom

Cell: 8.640 2.601 4.526 Å, 90.00 100.53 90.00°
Atoms (fractional coordinates):
Cr1 0.120 0.000 0.355
Cr2 0.380 0.500 0.645
Cr3 0.620 0.500 0.355
Cr4 0.880 0.000 0.645
Fe1 0.118 0.500 0.879
Fe2 0.382 0.000 0.121
Fe3 0.618 0.000 0.879
Fe4 0.882 0.500 0.121
H1 0.000 0.500 0.500
H2 0.243 0.000 0.751
H3 0.257 0.500 0.249
H4 0.500 0.000 0.500
H5 0.743 0.500 0.751
H6 0.757 0.000 0.249


# 6
## CrFeH2 (GGA-PBE)

Data for a relaxed CrFeH2 crystal.

Values from the calculation:
* space group: Pna2_1, No. 33
* relative energy among the computed polymorphs: 177 meV/atom

Cell: 4.752 5.507 4.325 Å, 90.00 90.00 90.00°
Atoms (fractional coordinates):
Cr1 0.081 0.127 0.000
Cr2 0.419 0.627 0.500
Cr3 0.581 0.373 0.000
Cr4 0.919 0.873 0.500
Fe1 0.079 0.622 0.991
Fe2 0.421 0.122 0.491
Fe3 0.579 0.878 0.991
Fe4 0.921 0.378 0.491
H1 0.084 0.621 0.366
H2 0.090 0.131 0.394
H3 0.410 0.631 0.894
H4 0.416 0.121 0.866
H5 0.584 0.879 0.366
H6 0.590 0.369 0.394
H7 0.910 0.869 0.894
H8 0.916 0.379 0.866


Number 3 is which compound?
CrFeH2